A relaxed structure of Na2AsI. Source: Alexandria, functional PBEsol.

Cell: 6.645 6.645 6.645 Å, 103.09 103.09 123.17°
Sites, in units of the cell vectors:
Na1 0.103 0.625 0.978
Na2 0.375 0.353 0.478
Na3 0.647 0.125 0.022
Na4 0.875 0.897 0.522
As1 0.000 0.000 0.000
As2 0.750 0.250 0.500
I1 0.250 0.750 0.500
I2 0.500 0.500 0.000

Calculated values
Raw total energy: -22.03 eV/cell
Energy relative to the elements, uncorrected: -0.33 eV per atom

A relaxed structure of Cd2AuF. Source: Alexandria, functional PBEsol.

Cell: 4.606 4.606 4.606 Å, 60.00 60.00 60.00°
Sites, in units of the cell vectors:
Cd1 0.250 0.250 0.250
Cd2 0.750 0.750 0.750
Au1 0.000 0.000 0.000
F1 0.500 0.500 0.500

Calculated values
Raw total energy: -10.76 eV/cell
Energy relative to the elements, uncorrected: -0.63 eV per atom

A relaxed structure of BaSc. Source: Alexandria, functional PBEsol.

Cell: 10.163 10.163 3.958 Å, 90.00 90.00 158.21°
Sites, in units of the cell vectors:
Ba1 0.089 0.911 0.750
Ba2 0.911 0.089 0.250
Sc1 0.286 0.714 0.750
Sc2 0.714 0.286 0.250

Calculated values
Formation energy: 0.264 eV per atom
Relative energy among the computed polymorphs: 0 meV per atom
Raw total energy: -16.45 eV/cell

A relaxed structure of Cu2PAu. Source: Alexandria, functional PBEsol.

Cell: 4.661 4.661 4.661 Å, 132.74 132.74 69.06°
Sites, in units of the cell vectors:
Cu1 0.250 0.750 0.500
Cu2 0.750 0.250 0.500
P1 0.000 0.000 0.000
Au1 0.500 0.500 0.000

Calculated values
Formation energy: 0.122 eV per atom
Raw total energy: -17.90 eV/cell

| no. | magnetic moment (μB per cell) |
| --- | --- |
| 1 | 0.013 |
| 2 | 0.000 |
| 3 | 0.007 |
| 4 | 0.000 |